Entry from Alexandria via LeMat-Bulk: a relaxed Tl2Fe2F7 crystal (GGA+U).

energy: -4.80 eV per atom
V: 19.60 Å³/atom
total moment: 9.00 μB per formula unit

Cell lengths 3.9867, 7.7073, 7.7073 Å; angles 114.41, 90.00, 90.00 degrees
Closest atoms and distances in Å follow each position.
Sites, in units of the cell vectors:
Tl 0.5000 0.7242 0.2758  4 F 2.73
Tl 0.5000 0.2758 0.7242  4 F 2.73
Fe 0.9999 0.2364 0.2364  5 F 1.93-2.00
Fe 0.0001 0.7636 0.7636  5 F 1.93-2.00
F 0.9998 0.4591 0.1822  1 Fe 1.93
F 0.0001 0.8178 0.5409  1 Fe 1.93
F 0.0001 0.5409 0.8178  1 Fe 1.93
F 0.9998 0.1822 0.4591  1 Fe 1.93
F 0.5001 0.7518 0.7518  2 Fe 2.00
F 0.0000 0.0000 0.0000  2 Fe 1.97
F 0.4999 0.2482 0.2482  2 Fe 2.00